1.
Material: Zn2SiRh3
Method: DFT, PBE
State: optimized geometry

Summary:
density = 9.65 g/cm³
formation energy from raw total energies = -61.68 kJ per mole of atoms

```
data_Zn2SiRh3
_chemical_formula_sum 'Zn8 Si4 Rh12'
_cell_length_a 4.207
_cell_length_b 12.622
_cell_length_c 6.060
_cell_angle_alpha 90.00
_cell_angle_beta 90.00
_cell_angle_gamma 90.00
_space_group_name_H-M_alt 'C m m m'
_space_group_IT_number 65
_space_group_name_Hall '-C 2 2'
loop_
_atom_site_label
_atom_site_type_symbol
_atom_site_fract_x
_atom_site_fract_y
_atom_site_fract_z
Zn1 Zn 0.000 0.000 0.000
Zn2 Zn 0.000 0.000 0.500
Zn3 Zn 0.000 0.334 0.000
Si1 Si 0.000 0.339 0.500
Rh1 Rh 0.000 0.172 0.268
Rh2 Rh 0.000 0.500 0.260
```

=====

2.
Material: Zn3SiRh
Method: DFT, PBE
State: optimized geometry

Summary:
density = 5.15 g/cm³
ΔE to the lowest computed polymorph = 0 meV/atom
formation energy from raw total energies = 52.79 kJ per mole of atoms

```
data_Zn3SiRh
_chemical_formula_sum 'Zn3 Si1 Rh1'
_cell_length_a 4.727
_cell_length_b 4.727
_cell_length_c 4.727
_cell_angle_alpha 90.00
_cell_angle_beta 90.00
_cell_angle_gamma 90.00
_space_group_name_H-M_alt 'P m -3 m'
_space_group_IT_number 221
_space_group_name_Hall '-P 4 2 3'
loop_
_atom_site_label
_atom_site_type_symbol
_atom_site_fract_x
_atom_site_fract_y
_atom_site_fract_z
Zn1 Zn 0.000 0.000 0.500
Si1 Si 0.500 0.500 0.500
Rh1 Rh 0.000 0.000 0.000
```

=====

3.
Material: Zn2SiRh
Method: DFT, PBE
State: optimized geometry

Summary:
density = 7.69 g/cm³
formation energy from raw total energies = -23.87 kJ per mole of atoms

```
data_Zn2SiRh
_chemical_formula_sum 'Zn4 Si2 Rh2'
_cell_length_a 8.580
_cell_length_b 3.009
_cell_length_c 4.494
_cell_angle_alpha 90.00
_cell_angle_beta 102.84
_cell_angle_gamma 90.00
_space_group_name_H-M_alt 'C 1 m 1'
_space_group_IT_number 8
loop_
_space_group_symop_operation_xyz
'x,y,z'
'x,-y,z'
'x+1/2,y+1/2,z'
'x+1/2,-y+1/2,z'
loop_
_atom_site_label
_atom_site_type_symbol
_atom_site_fract_x
_atom_site_fract_y
_atom_site_fract_z
Zn1 Zn 0.000 0.000 0.000
Zn2 Zn 0.244 0.000 0.789
Si1 Si 0.256 0.500 0.317
Rh1 Rh 0.486 0.000 0.483
```

=====

4.
Material: Zn2Si2Rh
Method: DFT, PBE
State: optimized geometry

Summary:
density = 6.38 g/cm³
formation energy from raw total energies = -9.66 kJ per mole of atoms

```
data_Zn2Si2Rh
_chemical_formula_sum 'Zn4 Si4 Rh2'
_cell_length_a 6.214
_cell_length_b 6.214
_cell_length_c 3.910
_cell_angle_alpha 90.00
_cell_angle_beta 90.00
_cell_angle_gamma 90.00
_space_group_name_H-M_alt 'P 4/m b m'
_space_group_IT_number 127
_space_group_name_Hall '-P 4 2ab'
loop_
_atom_site_label
_atom_site_type_symbol
_atom_site_fract_x
_atom_site_fract_y
_atom_site_fract_z
Zn1 Zn 0.179 0.321 0.000
Si1 Si 0.134 0.634 0.500
Rh1 Rh 0.000 0.000 0.500
```

=====

5.
Material: Zn2SiRh
Method: DFT, PBE
State: optimized geometry

Summary:
density = 7.22 g/cm³
formation energy from raw total energies = 1.08 kJ per mole of atoms

```
data_Zn2SiRh
_chemical_formula_sum 'Zn2 Si1 Rh1'
_cell_length_a 2.784
_cell_length_b 2.784
_cell_length_c 7.772
_cell_angle_alpha 90.00
_cell_angle_beta 90.00
_cell_angle_gamma 90.00
_space_group_name_H-M_alt 'P 4/m m m'
_space_group_IT_number 123
_space_group_name_Hall '-P 4 2'
loop_
_atom_site_label
_atom_site_type_symbol
_atom_site_fract_x
_atom_site_fract_y
_atom_site_fract_z
Zn1 Zn 0.000 0.000 0.224
Si1 Si 0.500 0.500 0.500
Rh1 Rh 0.500 0.500 0.000
```

=====

6.
Material: Zn2SiRh
Method: DFT, PBE
State: optimized geometry

Summary:
density = 7.31 g/cm³
formation energy from raw total energies = 1.57 kJ per mole of atoms

```
data_Zn2SiRh
_chemical_formula_sum 'Zn6 Si3 Rh3'
_cell_length_a 2.7884
_cell_length_b 2.7884
_cell_length_c 26.5134
_cell_angle_alpha 90.00
_cell_angle_beta 90.00
_cell_angle_gamma 120.00
_space_group_name_H-M_alt 'R -3 m'
_space_group_IT_number 166
_space_group_name_Hall '-R 3 2"'
loop_
_atom_site_label
_atom_site_type_symbol
_atom_site_fract_x
_atom_site_fract_y
_atom_site_fract_z
Zn1 Zn 0.0000 0.0000 0.2441
Si1 Si 0.0000 0.0000 0.0000
Rh1 Rh 0.0000 0.0000 0.5000
```

=====

7.
Material: Zn2SiRh
Method: DFT, PBE
State: optimized geometry

Summary:
density = 7.28 g/cm³
formation energy from raw total energies = 6.92 kJ per mole of atoms

```
data_Zn2SiRh
_chemical_formula_sum 'Zn4 Si2 Rh2'
_cell_length_a 2.952
_cell_length_b 4.647
_cell_length_c 8.711
_cell_angle_alpha 90.00
_cell_angle_beta 90.00
_cell_angle_gamma 90.00
_space_group_name_H-M_alt 'C m m m'
_space_group_IT_number 65
_space_group_name_Hall '-C 2 2'
loop_
_atom_site_label
_atom_site_type_symbol
_atom_site_fract_x
_atom_site_fract_y
_atom_site_fract_z
Zn1 Zn 0.000 0.000 0.238
Si1 Si 0.000 0.500 0.500
Rh1 Rh 0.000 0.500 0.000
```

=====

8.
Material: Zn4SiRh
Method: DFT, PBE
State: optimized geometry

Summary:
density = 7.55 g/cm³
formation energy from raw total energies = 2.09 kJ per mole of atoms

```
data_Zn4SiRh
_chemical_formula_sum 'Zn16 Si4 Rh4'
_cell_length_a 7.015
_cell_length_b 7.015
_cell_length_c 7.015
_cell_angle_alpha 90.00
_cell_angle_beta 90.00
_cell_angle_gamma 90.00
_space_group_name_H-M_alt 'F -4 3 m'
_space_group_IT_number 216
_space_group_name_Hall 'F -4 2 3'
loop_
_atom_site_label
_atom_site_type_symbol
_atom_site_fract_x
_atom_site_fract_y
_atom_site_fract_z
Zn1 Zn 0.125 0.125 0.125
Si1 Si 0.000 0.000 0.500
Rh1 Rh 0.250 0.250 0.750
```

=====

9.
Material: Zn2SiRh
Method: DFT, PBE
State: optimized geometry

Summary:
density = 7.64 g/cm³
formation energy from raw total energies = -21.19 kJ per mole of atoms

```
data_Zn2SiRh
_chemical_formula_sum 'Zn2 Si1 Rh1'
_cell_length_a 3.382
_cell_length_b 3.382
_cell_length_c 4.973
_cell_angle_alpha 90.00
_cell_angle_beta 90.00
_cell_angle_gamma 90.00
_space_group_name_H-M_alt 'P 4/m m m'
_space_group_IT_number 123
_space_group_name_Hall '-P 4 2'
loop_
_atom_site_label
_atom_site_type_symbol
_atom_site_fract_x
_atom_site_fract_y
_atom_site_fract_z
Zn1 Zn 0.000 0.000 0.247
Si1 Si 0.500 0.500 0.500
Rh1 Rh 0.500 0.500 0.000
```

=====

10.
Material: ZnSi3Rh
Method: DFT, PBE
State: optimized geometry

Summary:
density = 4.22 g/cm³
ΔE to the lowest computed polymorph = 0 meV/atom
formation energy from raw total energies = 42.61 kJ per mole of atoms

```
data_ZnSi3Rh
_chemical_formula_sum 'Zn1 Si3 Rh1'
_cell_length_a 4.632
_cell_length_b 4.632
_cell_length_c 4.632
_cell_angle_alpha 90.00
_cell_angle_beta 90.00
_cell_angle_gamma 90.00
_space_group_name_H-M_alt 'P m -3 m'
_space_group_IT_number 221
_space_group_name_Hall '-P 4 2 3'
loop_
_atom_site_label
_atom_site_type_symbol
_atom_site_fract_x
_atom_site_fract_y
_atom_site_fract_z
Zn1 Zn 0.000 0.000 0.000
Si1 Si 0.000 0.500 0.500
Rh1 Rh 0.500 0.500 0.500
```

=====

11.
Material: Zn2SiRh
Method: DFT, PBE
State: optimized geometry

Summary:
density = 7.91 g/cm³
formation energy from raw total energies = -24.91 kJ per mole of atoms

```
data_Zn2SiRh
_chemical_formula_sum 'Zn4 Si2 Rh2'
_cell_length_a 3.800
_cell_length_b 3.800
_cell_length_c 7.613
_cell_angle_alpha 90.00
_cell_angle_beta 90.00
_cell_angle_gamma 90.00
_space_group_name_H-M_alt 'I -4 m 2'
_space_group_IT_number 119
_space_group_name_Hall 'I -4 -2'
loop_
_atom_site_label
_atom_site_type_symbol
_atom_site_fract_x
_atom_site_fract_y
_atom_site_fract_z
Zn1 Zn 0.000 0.000 0.000
Zn2 Zn 0.000 0.500 0.250
Si1 Si 0.000 0.500 0.750
Rh1 Rh 0.000 0.000 0.500
```

=====

12.
Material: Zn2SiRh
Method: DFT, PBE
State: optimized geometry

Summary:
density = 7.92 g/cm³
formation energy from raw total energies = -25.89 kJ per mole of atoms

```
data_Zn2SiRh
_chemical_formula_sum 'Zn4 Si2 Rh2'
_cell_length_a 3.668
_cell_length_b 3.668
_cell_length_c 8.153
_cell_angle_alpha 90.00
_cell_angle_beta 90.00
_cell_angle_gamma 90.00
_space_group_name_H-M_alt 'I 4/m m m'
_space_group_IT_number 139
_space_group_name_Hall '-I 4 2'
loop_
_atom_site_label
_atom_site_type_symbol
_atom_site_fract_x
_atom_site_fract_y
_atom_site_fract_z
Zn1 Zn 0.000 0.500 0.250
Si1 Si 0.000 0.000 0.000
Rh1 Rh 0.000 0.000 0.500
```

=====

13.
Material: ZnSiRh
Method: DFT, PBE
State: optimized geometry

Summary:
density = 6.81 g/cm³
formation energy from raw total energies = -30.64 kJ per mole of atoms

```
data_ZnSiRh
_chemical_formula_sum 'Zn4 Si4 Rh4'
_cell_length_a 5.765
_cell_length_b 5.765
_cell_length_c 5.765
_cell_angle_alpha 90.00
_cell_angle_beta 90.00
_cell_angle_gamma 90.00
_space_group_name_H-M_alt 'F -4 3 m'
_space_group_IT_number 216
_space_group_name_Hall 'F -4 2 3'
loop_
_atom_site_label
_atom_site_type_symbol
_atom_site_fract_x
_atom_site_fract_y
_atom_site_fract_z
Zn1 Zn 0.000 0.000 0.000
Si1 Si 0.000 0.000 0.500
Rh1 Rh 0.250 0.250 0.750
```